La2Hg2Sb | PBE | relaxed

a = 8.341 Å, b = 8.341 Å, c = 4.624 Å
α = 90.00°, β = 90.00°, γ = 90.00°
Space group P4/mbm (No. 127)
One atom of each set of equivalent atoms:
La 0.153 0.347 0.000 [4 per cell]
Hg 0.146 0.646 0.500 [4 per cell]
Sb 0.000 0.000 0.000 [2 per cell]

Formation energy from raw total energies in eV/atom: -0.483
E above lowest polymorph in meV/atom: 169
Final energy in eV per cell: -34.0
M_tot in μB per formula unit: 0.00

LaHgSb2 | PBE | relaxed

a = 7.719 Å, b = 7.719 Å, c = 7.719 Å
α = 90.00°, β = 90.00°, γ = 90.00°
Space group F-43m (No. 216)
One atom of each set of equivalent atoms:
La 0.000 0.000 0.000 [4 per cell]
Hg 0.250 0.250 0.250 [4 per cell]
Sb 0.000 0.000 0.500 [4 per cell]
Sb 0.250 0.250 0.750 [4 per cell]

Formation energy from raw total energies in eV/atom: -0.405
Final energy in eV per cell: -60.4
M_tot in μB per formula unit: 0.00

LaHgSb2 | PBE | relaxed

a = 4.176 Å, b = 4.494 Å, c = 6.683 Å
α = 90.00°, β = 90.00°, γ = 90.00°
Space group Pmmm (No. 47)
One atom of each set of equivalent atoms:
La 0.000 0.000 0.000 [1 per cell]
Hg 0.000 0.000 0.500 [1 per cell]
Sb 0.500 0.500 0.215 [2 per cell]

Formation energy from raw total energies in eV/atom: -0.552
Final energy in eV per cell: -15.7
M_tot in μB per formula unit: 0.00

LaHg2Sb2 | PBE | relaxed

a = 4.581 Å, b = 26.482 Å, c = 4.565 Å
α = 90.00°, β = 90.00°, γ = 90.00°
Space group Cmcm (No. 63)
One atom of each set of equivalent atoms:
La 0.000 0.152 0.250 [4 per cell]
Hg 0.000 0.044 0.750 [4 per cell]
Hg 0.000 0.454 0.750 [4 per cell]
Sb 0.000 0.250 0.750 [4 per cell]
Sb 0.000 0.361 0.250 [4 per cell]

Formation energy from raw total energies in eV/atom: -0.480
E above lowest polymorph in meV/atom: 0
Final energy in eV per cell: -64.7
M_tot in μB per formula unit: 0.00

La2HgSb2 | PBE | relaxed

a = 4.309 Å, b = 4.309 Å, c = 17.317 Å
α = 90.00°, β = 90.00°, γ = 90.00°
Space group I4/mmm (No. 139)
One atom of each set of equivalent atoms:
La 0.000 0.000 0.104 [4 per cell]
Hg 0.000 0.000 0.500 [2 per cell]
Sb 0.000 0.500 0.250 [4 per cell]

Formation energy from raw total energies in eV/atom: -0.554
E above lowest polymorph in meV/atom: 341
Final energy in eV per cell: -42.3
M_tot in μB per formula unit: 0.00

LaHgSb2 | PBE | relaxed

a = 4.1725 Å, b = 4.1725 Å, c = 25.1334 Å
α = 90.00°, β = 90.00°, γ = 120.00°
Space group R3m (No. 160, hexagonal axes)
One atom of each set of equivalent atoms:
La 0.0000 0.0000 0.0000 [3 per cell]
Hg 0.0000 0.0000 0.2453 [3 per cell]
Sb 0.0000 0.0000 0.4987 [3 per cell]
Sb 0.0000 0.0000 0.7550 [3 per cell]

Formation energy from raw total energies in eV/atom: -0.187
Final energy in eV per cell: -42.7
M_tot in μB per formula unit: 0.00

> Among the records above, which one has the lowest formation energy from raw total energies?

La2HgSb2

Please write out number 6 again, unchanged.
LaHgSb2 | PBE | relaxed

a = 4.1725 Å, b = 4.1725 Å, c = 25.1334 Å
α = 90.00°, β = 90.00°, γ = 120.00°
Space group R3m (No. 160, hexagonal axes)
One atom of each set of equivalent atoms:
La 0.0000 0.0000 0.0000 [3 per cell]
Hg 0.0000 0.0000 0.2453 [3 per cell]
Sb 0.0000 0.0000 0.4987 [3 per cell]
Sb 0.0000 0.0000 0.7550 [3 per cell]

Formation energy from raw total energies in eV/atom: -0.187
Final energy in eV per cell: -42.7
M_tot in μB per formula unit: 0.00

> Look up the M_tot of the fourth one.

0.00 μB per formula unit